The following is a DFT calculation (PBE-GGA) of KLaAu2I6 after structural relaxation.

a = 7.997 Å, b = 7.997 Å, c = 9.610 Å
α = 65.52°, β = 65.63°, γ = 60.12°
Atoms (fractional coordinates):
K: 0.000 0.000 0.000
La: 0.501 0.500 0.500
Au: 0.239 0.237 0.285
Au: 0.762 0.765 0.714
I: 0.107 0.742 0.727
I: 0.260 0.574 0.271
I: 0.425 0.106 0.728
I: 0.575 0.895 0.271
I: 0.744 0.427 0.727
I: 0.895 0.261 0.271

Computed properties:
Crystal system: triclinic
Magnetization (μB/f.u.): 0.0
Space-group type: No. 1
Uncorrected formation energy (eV/f.u.): -8.61